# PuPaC

A relaxed PuPaC crystal (PBE, Alexandria).

Cell lengths 6.7235, 3.4676, 8.1640 Å; angles 90.00, 90.00, 90.00 degrees
With the nearest neighbours (Å) after each atom.
Fractional positions:
Pu1 0.0896 0.2500 0.0713  2 Pu 2.41, 4 C 2.49-2.70
Pu2 0.4104 0.7500 0.5713  2 Pu 2.41, 4 C 2.49-2.70
Pu3 0.5896 0.2500 0.4287  2 Pu 2.41, 4 C 2.49-2.70
Pu4 0.9104 0.7500 0.9287  2 Pu 2.41, 4 C 2.49-2.70
Pa1 0.0432 0.2500 0.6797  3 C 2.55-2.71, 2 Pu 2.82
Pa2 0.4568 0.7500 0.1797  3 C 2.55-2.71, 2 Pu 2.82
Pa3 0.5432 0.2500 0.8203  3 C 2.55-2.71, 2 Pu 2.82
Pa4 0.9568 0.7500 0.3203  3 C 2.55-2.71, 2 Pu 2.82
C1 0.2236 0.2500 0.3825  4 Pu 2.49-2.70, 3 Pa 2.55-2.71
C2 0.2764 0.7500 0.8825  4 Pu 2.49-2.70, 3 Pa 2.55-2.71
C3 0.7236 0.2500 0.1175  4 Pu 2.49-2.70, 3 Pa 2.55-2.71
C4 0.7764 0.7500 0.6175  4 Pu 2.49-2.70, 3 Pa 2.55-2.71

Values from the calculation:
- symmetry = Pnma (62)
- energy above the most stable polymorph in this dataset (meV per atom) = 374
- energy of formation (eV per atom) = 0.209